Record 1
Computed, not measured: Dy4InH after structural relaxation at the PBE level of DFT.

Output
DOS at the Fermi energy = 25.44 states/eV/cell
V = 24.55 A^3/atom

Cell: 16.640 6.647 5.645 Å, 90.00 109.33 90.00°
Space group C2/m (No. 12)
Asymmetric unit:
Dy (0.000, 0.244, 0.000) (multiplicity 4)
Dy (0.113, 0.251, 0.618) (multiplicity 8)
Dy (0.201, 0.000, 0.222) (multiplicity 4)
In (0.186, 0.500, 0.180) (multiplicity 4)
H (0.086, 0.000, 0.878) (multiplicity 4)


Record 2
Computed, not measured: Dy6In3H after structural relaxation at the PBE level of DFT.

Output
DOS at the Fermi energy = 27.26 states/eV/cell
V = 25.60 A^3/atom

Cell: 11.461 16.803 5.318 Å, 90.00 90.00 90.00°
Space group Cmc2_1 (No. 36)
Asymmetric unit:
Dy (0.000, 0.088, 0.000) (multiplicity 4)
Dy (0.000, 0.238, 0.489) (multiplicity 4)
Dy (0.171, 0.418, 0.501) (multiplicity 8)
Dy (0.178, 0.276, 0.000) (multiplicity 8)
In (0.000, 0.421, 0.001) (multiplicity 4)
In (0.155, 0.075, 0.500) (multiplicity 8)
H (0.000, 0.219, 0.053) (multiplicity 4)


Record 3
Computed, not measured: DyInH after structural relaxation at the PBE level of DFT.

Output
DOS at the Fermi energy = 5.37 states/eV/cell
V = 18.34 A^3/atom
Energy above the lowest structure with this stoichiometry = 0.000 eV/atom

Cell: 3.767 13.013 4.490 Å, 90.00 90.00 90.00°
Space group Cmcm (No. 63)
Asymmetric unit:
Dy (0.000, 0.170, 0.250) (multiplicity 4)
In (0.000, 0.435, 0.250) (multiplicity 4)
H (0.000, 0.244, 0.750) (multiplicity 4)


Record 4
Computed, not measured: Dy3In2H after structural relaxation at the PBE level of DFT.

Output
DOS at the Fermi energy = 17.09 states/eV/cell
V = 24.21 A^3/atom

Cell: 14.123 6.264 6.631 Å, 90.00 97.86 90.00°
Space group C2/c (No. 15)
Asymmetric unit:
Dy (0.000, 0.087, 0.250) (multiplicity 4)
Dy (0.122, 0.410, 0.638) (multiplicity 8)
In (0.185, 0.072, 0.039) (multiplicity 8)
H (0.000, 0.431, 0.250) (multiplicity 4)


Record 5
Computed, not measured: Dy5In2H after structural relaxation at the PBE level of DFT.

Output
DOS at the Fermi energy = 17.80 states/eV/cell
V = 26.88 A^3/atom

Cell: 6.917 6.917 8.988 Å, 90.00 90.00 90.00°
Space group I4mm (No. 107)
Asymmetric unit:
Dy (0.000, 0.000, 0.000) (multiplicity 2)
Dy (0.249, 0.249, 0.255) (multiplicity 8)
In (0.000, 0.500, 0.003) (multiplicity 4)
H (0.000, 0.000, 0.752) (multiplicity 2)


Record 6
Computed, not measured: DyInH after structural relaxation at the PBE level of DFT.

Output
DOS at the Fermi energy = 1.18 states/eV/cell
V = 20.07 A^3/atom
Energy above the lowest structure with this stoichiometry = 0.067 eV/atom

Cell: 3.6112 3.6112 5.3306 Å, 90.00 90.00 120.00°
Space group P3m1 (No. 156)
Asymmetric unit:
Dy (0.0000, 0.0000, 0.0000) (multiplicity 1)
In (0.3333, 0.6667, 0.5001) (multiplicity 1)
H (0.6667, 0.3333, 0.0028) (multiplicity 1)


Record 7
Computed, not measured: Dy8In5H after structural relaxation at the PBE level of DFT.

Output
DOS at the Fermi energy = 26.61 states/eV/cell
V = 27.21 A^3/atom

Cell: 8.735 8.735 9.984 Å, 90.00 90.00 90.00°
Space group I-4 (No. 82)
Asymmetric unit:
Dy (0.041, 0.275, 0.009) (multiplicity 8)
Dy (0.081, 0.185, 0.371) (multiplicity 8)
In (0.000, 0.500, 0.250) (multiplicity 2)
In (0.112, 0.276, 0.688) (multiplicity 8)
H (0.000, 0.000, 0.000) (multiplicity 2)


Record 8
Computed, not measured: Dy2InH2 after structural relaxation at the PBE level of DFT.

Output
DOS at the Fermi energy = 4.14 states/eV/cell
V = 17.32 A^3/atom

Cell: 3.817 3.817 11.887 Å, 90.00 90.00 90.00°
Space group I4/mmm (No. 139)
Asymmetric unit:
Dy (0.000, 0.000, 0.153) (multiplicity 4)
In (0.000, 0.000, 0.500) (multiplicity 2)
H (0.000, 0.500, 0.250) (multiplicity 4)


Number 1: electronic total energy -103.502 eV/cell. Number 2: electronic total energy -171.952 eV/cell. Number 3: electronic total energy -48.876 eV/cell. Number 4: electronic total energy -98.852 eV/cell. Number 5: electronic total energy -66.729 eV/cell. Number 6: electronic total energy -12.019 eV/cell. Number 7: electronic total energy -115.295 eV/cell. Number 8: electronic total energy -43.680 eV/cell.